Crystalline Rb2Pm2MoO6 at its relaxed geometry. Source: Alexandria, functional PBE+U.

Properties
The symmetry is C2/m, No. 12. The value obtained for the total energy is -74.3 eV for the cell shown.

abc: 5.9886 5.9886 6.9238
angles: 97.89 97.89 119.11
Last column: nearest neighbours and their distance in Å.
Element x y z (fractional)
Rb  0.8373  0.1627  0.0000  6 O 2.90-3.19
Rb  0.1627  0.8373  0.0000  6 O 2.90-3.19
Pm  0.3365  0.6635  0.5000  6 O 2.35-2.40
Pm  0.6635  0.3365  0.5000  6 O 2.35-2.40
Mo  0.0000  0.0000  0.5000  6 O 2.10-2.19
O  0.7454  0.7454  0.6711  1 Mo 2.19, 2 Pm 2.35
O  0.0473  0.3497  0.6629  1 Mo 2.10
O  0.2546  0.2546  0.3289  1 Mo 2.19, 2 Pm 2.35
O  0.3497  0.0473  0.6629  1 Mo 2.10
O  0.9527  0.6503  0.3371  1 Mo 2.10
O  0.6503  0.9527  0.3371  1 Mo 2.10